LiYZn2 | PBE | relaxed

## Properties
The calculation puts the calculated formation energy at -1.0 eV/f.u.

Cell: 4.675 4.675 4.675 Å, 120.16 120.16 89.73°
Atoms (fractional coordinates):
Li1 0.000 0.000 0.000
Y1 0.750 0.250 0.500
Zn1 0.250 0.750 0.500
Zn2 0.500 0.500 0.000

Ac2HoPuSe4 | PBE | relaxed

## Properties
As for the formation energy without anion corrections: -1740 meV/atom.

Cell: 7.368 4.234 7.539 Å, 90.00 108.81 90.00°
Atoms (fractional coordinates):
Ac1 0.000 0.000 0.000
Ac2 0.500 0.500 0.000
Ho1 0.000 0.500 0.500
Pu1 0.500 0.000 0.500
Se1 0.237 0.000 0.722
Se2 0.255 0.500 0.275
Se3 0.745 0.500 0.725
Se4 0.763 0.000 0.278